CoAg2Te (GGA-PBE, optimized geometry); formation energy (no corrections) = 448 meV per atom; space group = Cmmm (65)
1.0
2.108 -2.119 0.000
2.108 2.119 0.000
0.000 0.000 8.911
Co Ag Te
1 2 1
Cartesian
0.000 0.000 0.000
2.108 0.000 1.737
2.108 0.000 7.174
0.000 0.000 4.455


Pr3Sb4Pd2 (GGA-PBE, optimized geometry); formation energy (no corrections) = -917 meV per atom; space group = C2/m (12)
1.0
5.868 -2.337 0.000
5.868 2.337 0.000
-3.139 0.000 8.717
Pr Sb Pd
3 4 2
Cartesian
0.000 0.000 0.000
3.370 0.000 2.567
5.227 0.000 6.150
-0.321 0.000 3.448
0.733 0.000 7.817
7.865 0.000 0.900
8.918 0.000 5.269
1.772 0.000 5.261
6.826 0.000 3.456


TcPb2 (GGA-PBE, optimized geometry); ΔE_f = 0.5360 eV/atom; distance to the lowest polymorph of the same formula = 163 meV/atom; space group = I4_1/amd (141)
1.0
-1.657 1.657 13.289
1.657 -1.657 13.289
1.657 1.657 -13.289
Tc Pb
2 4
Cartesian
1.657 0.829 3.322
0.000 0.829 9.967
1.657 -0.829 8.207
1.657 -0.829 11.726
0.000 2.486 1.563
0.000 2.486 5.081


Sr2LaP (GGA-PBE, optimized geometry); ΔE_f = -0.3918 eV/atom; distance to the lowest polymorph of the same formula = 173 meV/atom; space group = I-42d (122)
1.0
-5.377 5.377 2.889
5.377 -5.377 2.889
5.377 5.377 -2.889
Sr La P
4 2 2
Cartesian
1.278 2.688 0.722
-2.688 4.099 2.167
-1.278 8.065 0.722
2.688 6.654 2.167
5.377 0.000 1.444
0.000 0.000 2.889
0.000 0.000 0.000
0.000 5.377 1.444


Number 1: electronic total energy -3.539 eV per atom. Number 2: electronic total energy -5.497 eV per atom. Number 3: electronic total energy -5.392 eV per atom. Number 4: electronic total energy -3.817 eV per atom.